A relaxed Rb3MoBr8 crystal. Source: Alexandria, functional GGA-PBE.

* excess energy over the best structure of this formula in the dataset: 20.1 kJ per mole of atoms
* E_form (uncorrected): -0.87 eV per atom
* SG: No. 139

Cell: 7.7348 7.7348 9.3286 Å, 114.49 114.49 90.00°
With the nearest neighbours (Å) after each atom.
Positions (direct):
1 Rb 0.7500 0.2500 0.5000  8 Br 3.52
2 Rb 0.5000 0.5000 0.0000  8 Br 3.57
3 Rb 0.2500 0.7500 0.5000  8 Br 3.52
4 Mo 0.0000 0.0000 0.0000  8 Br 2.79
5 Br 0.3147 0.3147 0.2130  1 Mo 2.79
6 Br 0.3147 0.8983 0.2130  1 Mo 2.79
7 Br 0.1017 0.6853 0.7870  1 Mo 2.79
8 Br 0.1017 0.1017 0.7870  1 Mo 2.79
9 Br 0.8983 0.8983 0.2130  1 Mo 2.79
10 Br 0.8983 0.3147 0.2130  1 Mo 2.79
11 Br 0.6853 0.1017 0.7870  1 Mo 2.79
12 Br 0.6853 0.6853 0.7870  1 Mo 2.79

A relaxed AcTmAg2Se4 crystal. Source: Alexandria, functional GGA-PBE.

* E_form (uncorrected): -1.13 eV per atom
* SG: No. 23

Cell: 7.1074 6.6093 6.6093 Å, 67.79 57.47 57.47°
With the nearest neighbours (Å) after each atom.
Positions (direct):
1 Ac 0.0000 0.0000 0.0000  8 Se 3.26-3.48
2 Tm 0.5000 0.5000 0.5000  4 Se 2.71
3 Ag 0.1698 0.3302 0.3302  4 Se 2.60-2.85, 1 Ag 2.84
4 Ag 0.8302 0.6698 0.6698  4 Se 2.60-2.85, 1 Ag 2.84
5 Se 0.4657 0.0962 0.5392  2 Ag 2.60-2.85, 1 Tm 2.71
6 Se 0.1012 0.9038 0.4608  2 Ag 2.60-2.85, 1 Tm 2.71
7 Se 0.8988 0.5392 0.0962  2 Ag 2.60-2.85, 1 Tm 2.71
8 Se 0.5343 0.4608 0.9038  2 Ag 2.60-2.85, 1 Tm 2.71

A relaxed Nd2TmPa crystal. Source: Alexandria, functional GGA-PBE.

* excess energy over the best structure of this formula in the dataset: 12.5 kJ per mole of atoms
* SG: No. 166
* energy of formation: 29.5 kJ per mole of atoms

Cell: 3.3741 3.3741 12.5692 Å, 82.29 82.29 60.00°
With the nearest neighbours (Å) after each atom.
Positions (direct):
1 Nd 0.0867 0.0867 0.7398  1 Pa 3.23, 6 Nd 3.37, 3 Tm 3.56
2 Nd 0.9133 0.9133 0.2602  1 Pa 3.23, 6 Nd 3.37, 3 Tm 3.56
3 Pa 0.0000 0.0000 0.0000  2 Nd 3.23, 6 Pa 3.37
4 Tm 0.5000 0.5000 0.5000  6 Tm 3.37, 6 Nd 3.56

A relaxed GaGeF3 crystal. Source: Alexandria, functional GGA-PBE.

* E_form (uncorrected): -1.41 eV per atom
* SG: No. 221

Cell: 4.1998 4.1998 4.1998 Å, 90.00 90.00 90.00°
With the nearest neighbours (Å) after each atom.
Positions (direct):
1 Ge 0.5000 0.5000 0.5000  12 F 2.97
2 Ga 0.0000 0.0000 0.0000  6 F 2.10
3 F 0.0000 0.5000 0.0000  2 Ga 2.10
4 F 0.0000 0.0000 0.5000  2 Ga 2.10
5 F 0.5000 0.0000 0.0000  2 Ga 2.10

A relaxed KMoP crystal. Source: Alexandria, functional GGA-PBE.

* excess energy over the best structure of this formula in the dataset: 128.1 kJ per mole of atoms
* SG: No. 187
* energy of formation: 93.3 kJ per mole of atoms

Cell: 4.8874 4.8874 2.7603 Å, 90.00 90.00 120.00°
With the nearest neighbours (Å) after each atom.
Positions (direct):
1 K 0.0000 0.0000 0.9998  2 K 2.76
2 Mo 0.6667 0.3333 0.5000  2 Mo 2.76, 3 P 2.82
3 P 0.3333 0.6667 0.5001  2 P 2.76, 3 Mo 2.82

A relaxed Be2Te crystal. Source: Alexandria, functional GGA-PBE.

* excess energy over the best structure of this formula in the dataset: 50.3 kJ per mole of atoms
* E_form (uncorrected): 0.54 eV per atom
* SG: No. 160

Cell: 4.6271 4.6271 4.6271 Å, 48.16 48.16 48.16°
With the nearest neighbours (Å) after each atom.
Positions (direct):
1 Be 0.7924 0.7924 0.7924  3 Be 2.43, 4 Te 2.48-2.71
2 Be 0.5461 0.5461 0.5461  3 Be 2.43, 3 Te 2.60
3 Te 0.9948 0.9948 0.9948  7 Be 2.48-2.71

A relaxed TbHo2Sb crystal. Source: Alexandria, functional GGA-PBE.

* excess energy over the best structure of this formula in the dataset: 7.3 kJ per mole of atoms
* E_form (uncorrected): -0.47 eV per atom
* SG: No. 123

Cell: 4.7646 4.7740 4.7740 Å, 90.00 90.00 90.00°
With the nearest neighbours (Å) after each atom.
Positions (direct):
1 Sb 0.5000 0.0000 0.0000  8 Ho 3.37, 4 Tb 3.38
2 Tb 0.5000 0.5000 0.5000  8 Ho 3.37, 4 Sb 3.38
3 Ho 0.0000 0.0000 0.5000  4 Tb 3.37, 4 Sb 3.37, 4 Ho 3.38
4 Ho 0.0000 0.5000 0.0000  4 Tb 3.37, 4 Sb 3.37, 4 Ho 3.38

A relaxed Ce2TmZnN crystal. Source: Alexandria, functional GGA-PBE.

* E_form (uncorrected): -0.67 eV per atom
* SG: No. 123

Cell: 4.8523 4.8522 4.7034 Å, 90.00 90.00 90.00°
With the nearest neighbours (Å) after each atom.
Positions (direct):
1 Ce 0.0000 0.5000 0.0000  2 N 2.43
2 Ce 0.5000 0.0000 0.9999  2 N 2.43
3 Tm 0.0000 0.0000 0.5000  2 N 2.35
4 Zn 0.5000 0.5000 0.5002  8 Ce 3.38, 4 Tm 3.43
5 N 0.0000 0.0000 0.9999  2 Tm 2.35, 4 Ce 2.43

A relaxed LaNiAs2 crystal. Source: Alexandria, functional GGA-PBE.

* SG: No. 65
* energy of formation: -41.9 kJ per mole of atoms

Cell: 4.4040 7.5600 4.1742 Å, 56.45 90.06 126.61°
With the nearest neighbours (Å) after each atom.
Positions (direct):
1 As 0.0000 0.0000 0.0000  4 Ni 3.03-3.04, 4 La 3.03-3.04, 4 As 3.08-3.15
2 As 0.0000 0.5000 0.5000  4 La 3.03-3.04, 4 Ni 3.03-3.04, 4 As 3.08-3.15
3 La 0.5000 0.5000 0.0000  8 As 3.03-3.04, 4 Ni 3.08-3.15
4 Ni 0.5000 0.0000 0.5000  8 As 3.03-3.04, 4 La 3.08-3.15

A relaxed K4Pu3FeS8 crystal. Source: Alexandria, functional GGA-PBE.

* E_form (uncorrected): -1.29 eV per atom
* SG: No. 12

Cell: 8.0031 8.6746 8.0804 Å, 117.93 119.68 90.00°
With the nearest neighbours (Å) after each atom.
Positions (direct):
1 K 0.5000 0.0000 0.0000  6 S 3.28-3.30
2 K 0.5000 0.0000 0.5000  6 S 3.18-3.20
3 K 0.0000 0.0000 0.0000  6 S 3.18-3.19
4 K 0.0000 0.0000 0.5000  6 S 3.18-3.20
5 Pu 0.5000 0.5000 0.0000  6 S 2.76-2.78
6 Pu 0.5000 0.5000 0.5000  6 S 2.74-2.78
7 Pu 0.0000 0.5000 0.5000  6 S 2.74-2.78
8 Fe 0.0000 0.5000 0.0000  6 S 2.62-2.69
9 S 0.2240 0.6931 0.9704  1 Fe 2.62, 2 Pu 2.76-2.78
10 S 0.2272 0.6943 0.4544  1 Fe 2.69, 2 Pu 2.74
11 S 0.2647 0.2964 0.5293  3 Pu 2.75-2.78
12 S 0.7464 0.6931 0.9704  1 Fe 2.62, 2 Pu 2.76-2.78
13 S 0.2536 0.3069 0.0296  1 Fe 2.62, 2 Pu 2.76-2.78
14 S 0.7353 0.7036 0.4707  3 Pu 2.75-2.78
15 S 0.7728 0.3057 0.5456  1 Fe 2.69, 2 Pu 2.74
16 S 0.7760 0.3069 0.0296  1 Fe 2.62, 2 Pu 2.76-2.78

A relaxed Y3NpGa12 crystal. Source: Alexandria, functional GGA-PBE.

* SG: No. 123
* energy of formation: -43.7 kJ per mole of atoms

Cell: 4.2636 4.2636 17.1839 Å, 90.00 90.00 90.00°
With the nearest neighbours (Å) after each atom.
Positions (direct):
1 Y 0.0000 0.0000 0.2501  12 Ga 3.01-3.05
2 Y 0.0000 0.0000 0.5000  12 Ga 3.01-3.03
3 Y 0.0000 0.0000 0.7499  12 Ga 3.01-3.05
4 Np 0.0000 0.0000 0.0000  12 Ga 3.00-3.01
5 Ga 0.5000 0.5000 0.0000  8 Ga 3.00, 4 Np 3.01
6 Ga 0.5000 0.5000 0.2491  4 Y 3.01, 8 Ga 3.03-3.04
7 Ga 0.5000 0.5000 0.5000  4 Y 3.01, 8 Ga 3.03
8 Ga 0.5000 0.5000 0.7509  4 Y 3.01, 8 Ga 3.03-3.04
9 Ga 0.5000 0.0000 0.1232  8 Ga 3.00-3.04, 2 Np 3.00, 2 Y 3.05
10 Ga 0.5000 0.0000 0.3747  8 Ga 3.01-3.03, 4 Y 3.02-3.03
11 Ga 0.5000 0.0000 0.6253  8 Ga 3.01-3.03, 4 Y 3.02-3.03
12 Ga 0.5000 0.0000 0.8768  2 Np 3.00, 8 Ga 3.00-3.04, 2 Y 3.05
13 Ga 0.0000 0.5000 0.1232  8 Ga 3.00-3.04, 2 Np 3.00, 2 Y 3.05
14 Ga 0.0000 0.5000 0.3747  8 Ga 3.01-3.03, 4 Y 3.02-3.03
15 Ga 0.0000 0.5000 0.6253  8 Ga 3.01-3.03, 4 Y 3.02-3.03
16 Ga 0.0000 0.5000 0.8768  2 Np 3.00, 8 Ga 3.00-3.04, 2 Y 3.05

A relaxed Tm8Ge3Te4Rh crystal. Source: Alexandria, functional GGA-PBE.

* E_form (uncorrected): -1.09 eV per atom
* SG: No. 166

Cell: 8.3341 8.5158 8.3344 Å, 119.30 120.00 90.00°
With the nearest neighbours (Å) after each atom.
Positions (direct):
1 Tm 0.2357 0.7128 0.9772  1 Rh 2.81, 2 Ge 2.84, 2 Te 3.13
2 Tm 0.2357 0.7129 0.4714  1 Rh 2.81, 2 Ge 2.85, 2 Te 3.13
3 Tm 0.2600 0.2803 0.5201  3 Ge 2.86, 3 Te 3.11
4 Tm 0.7415 0.7128 0.9772  1 Rh 2.81, 2 Ge 2.84, 2 Te 3.13
5 Tm 0.2585 0.2872 0.0228  1 Rh 2.81, 2 Ge 2.84, 2 Te 3.13
6 Tm 0.7400 0.7197 0.4799  3 Ge 2.86, 3 Te 3.11
7 Tm 0.7643 0.2871 0.5286  1 Rh 2.81, 2 Ge 2.85, 2 Te 3.13
8 Tm 0.7643 0.2872 0.0228  1 Rh 2.81, 2 Ge 2.84, 2 Te 3.13
9 Ge 0.5000 0.5000 0.0000  6 Tm 2.84-2.86
10 Ge 0.5000 0.5000 0.5000  6 Tm 2.84-2.86
11 Ge 0.0000 0.5000 0.5000  6 Tm 2.84-2.86
12 Te 0.5000 0.0000 0.0000  6 Tm 3.16
13 Te 0.5000 0.0000 0.5000  6 Tm 3.11-3.13
14 Te 0.0000 0.0000 0.0000  6 Tm 3.11-3.13
15 Te 0.0000 0.0000 0.5000  6 Tm 3.11-3.13
16 Rh 0.0000 0.5000 0.0000  6 Tm 2.81

A relaxed SmCuAg2 crystal. Source: Alexandria, functional GGA-PBE.

* excess energy over the best structure of this formula in the dataset: 15.0 kJ per mole of atoms
* SG: No. 123
* energy of formation: -5.1 kJ per mole of atoms

Cell: 3.4577 3.4577 6.7588 Å, 90.00 90.00 90.00°
With the nearest neighbours (Å) after each atom.
Positions (direct):
1 Cu 0.5000 0.5000 0.0000  8 Ag 2.81
2 Ag 0.0000 0.0000 0.7963  1 Ag 2.75, 4 Cu 2.81
3 Ag 0.0000 0.0000 0.2037  1 Ag 2.75, 4 Cu 2.81
4 Sm 0.5000 0.5000 0.5000  8 Ag 3.16, 2 Cu 3.38, 4 Sm 3.46

| no. | magnetic moment (μB/f.u.) | E_tot (eV per atom) |
| --- | --- | --- |
| 1 | 2.2 | -3.126 |
| 2 | 0.0 | -4.655 |
| 3 | 0.0 | -5.570 |
| 4 | 0.0 | -4.063 |
| 5 | 1.1 | -4.813 |
| 6 | 0.0 | -2.989 |
| 7 | 0.0 | -4.951 |
| 8 | 1.2 | -5.854 |
| 9 | 0.0 | -5.436 |
| 10 | 8.9 | -6.843 |
| 11 | 3.6 | -4.744 |
| 12 | 0.0 | -5.434 |
| 13 | 0.0 | -3.682 |